No. 1
Material: ZnAgBr
Method: DFT, SCAN
State: PBEsol geometry

The density comes out at 7.168 g cm⁻³. As for the uncorrected formation energy: 0.03 eV per atom.

a = 3.246 Å, b = 3.246 Å, c = 6.021 Å
α = 105.64°, β = 105.64°, γ = 90.00°
Fractional coordinates of all 3 atoms:
Ag 0.974 0.974 0.948
Br 0.684 0.684 0.368
Zn 0.342 0.342 0.684

No. 2
Material: ZnAg2Br
Method: DFT, SCAN
State: PBEsol geometry

The density comes out at 7.537 g cm⁻³. As for the energy relative to the lowest polymorph listed for this composition: 10 meV per atom. As for the uncorrected formation energy: -0.01 eV per atom.

a = 3.424 Å, b = 4.369 Å, c = 5.896 Å
α = 100.48°, β = 90.00°, γ = 113.07°
Fractional coordinates of all 4 atoms:
Ag 0.766 0.531 0.812
Ag 0.234 0.469 0.188
Br 0.000 0.000 0.500
Zn 0.500 0.000 0.000

No. 3
Material: Zn2Ag2Br
Method: DFT, SCAN
State: PBEsol geometry

The density comes out at 7.451 g cm⁻³. As for the uncorrected formation energy: 0.08 eV per atom.

a = 3.863 Å, b = 3.863 Å, c = 6.929 Å
α = 106.19°, β = 106.19°, γ = 90.00°
Fractional coordinates of all 5 atoms:
Zn 0.400 0.400 0.800
Zn 0.600 0.600 0.200
Br 0.000 0.000 0.000
Ag 0.250 0.750 0.500
Ag 0.750 0.250 0.500

No. 4
Material: Zr2AgBr
Method: DFT, SCAN
State: PBEsol geometry

The density comes out at 7.625 g cm⁻³. As for the uncorrected formation energy: -0.10 eV per atom.

a = 3.195 Å, b = 4.908 Å, c = 5.916 Å
α = 114.51°, β = 105.66°, γ = 90.00°
Fractional coordinates of all 4 atoms:
Br 0.268 0.768 0.537
Zr 0.986 0.986 0.972
Zr 0.740 0.240 0.480
Ag 0.506 0.506 0.011

No. 5
Material: ZrAgBr2
Method: DFT, SCAN
State: PBEsol geometry

The density comes out at 6.713 g cm⁻³. As for the energy relative to the lowest polymorph listed for this composition: 397 meV per atom. As for the uncorrected formation energy: -0.24 eV per atom.

a = 3.320 Å, b = 4.563 Å, c = 5.860 Å
α = 90.00°, β = 90.48°, γ = 90.00°
Fractional coordinates of all 4 atoms:
Br 0.703 0.000 0.760
Br 0.297 0.000 0.240
Zr 0.500 0.500 0.000
Ag 0.000 0.500 0.500

No. 6
Material: ZrAgBr2
Method: DFT, SCAN
State: PBEsol geometry

The density comes out at 6.557 g cm⁻³. As for the energy relative to the lowest polymorph listed for this composition: 22 meV per atom. As for the uncorrected formation energy: -0.62 eV per atom.

a = 3.422 Å, b = 3.422 Å, c = 7.760 Å
α = 90.00°, β = 90.00°, γ = 90.00°
Fractional coordinates of all 4 atoms:
Br 0.000 0.000 0.916
Br 0.500 0.500 0.309
Zr 0.000 0.000 0.533
Ag 0.500 0.500 0.742